(1)
The following is a PBE calculation of crystalline Nd3AlNi8 at its relaxed geometry, from Alexandria.

Cell: 5.0762 5.0762 24.8701 Å, 90.00 90.00 120.00°
With the nearest neighbours (Å) after each atom.
Space group R3m (No. 160, hexagonal axes)
One atom of each set of equivalent atoms:
Nd  0.0000  0.0000  0.0000 x3  12 Ni 2.98-3.06, 4 Nd 3.19-3.20
Nd  0.0000  0.0000  0.1281 x3  12 Ni 2.83-3.00, 3 Al 3.02
Nd  0.0000  0.0000  0.6150 x3  12 Ni 2.90-3.24, 1 Al 3.09, 3 Nd 3.20
Al  0.0000  0.0000  0.4906 x3  12 Ni 2.74-3.05, 3 Nd 3.02
Ni  0.0000  0.0000  0.3114 x3  6 Ni 2.58-2.60
Ni  0.0000  0.0000  0.8118 x3  6 Ni 2.47-2.51
Ni  0.0018  0.5009  0.5586 x9  6 Ni 2.47-2.60
Ni  0.0044  0.5022  0.0639 x9  6 Ni 2.50-2.58, 1 Al 2.74

Results
Formation energy from the elements (meV/atom): -331
E above lowest polymorph (eV/atom): 0.0150

(2)
The following is a PBE calculation of crystalline LiTeS2O8 at its relaxed geometry, from Alexandria.

Cell: 5.2062 5.2062 7.0807 Å, 90.00 90.00 120.00°
With the nearest neighbours (Å) after each atom.
Space group P-3 (No. 147)
One atom of each set of equivalent atoms:
Li  0.0000  0.0000  0.0000 x1  6 O 2.41
Te  0.0000  0.0000  0.5000 x1  6 O 2.34
S  0.3333  0.6667  0.8140 x2  4 O 1.45-1.51
O  0.1742  0.3507  0.7428 x6  1 S 1.51
O  0.3333  0.6667  0.0181 x2  1 S 1.45

Results
E_form (uncorrected) (eV/f.u.): -13.44

(3)
The following is a PBE calculation of crystalline Er2Tm2Zn3 at its relaxed geometry, from Alexandria.

Cell: 8.5499 4.9542 8.4821 Å, 90.00 109.57 90.00°
With the nearest neighbours (Å) after each atom.
Space group C2/m (No. 12)
One atom of each set of equivalent atoms:
Er  0.1272  0.0000  0.3812 x4  5 Zn 3.00-3.07
Tm  0.1217  0.5000  0.8650 x4  7 Zn 2.98-3.05
Zn  0.0000  0.0000  0.0000 x2  2 Er 3.05, 6 Tm 3.05
Zn  0.2486  0.5000  0.2429 x4  4 Tm 2.98-3.02, 4 Er 3.00-3.07

Results
Formation energy from the elements (meV/atom): -200

Number 1: calculated total energy -5.689 eV/atom, total moment 0.0000 μB/atom. Number 2: calculated total energy -5.535 eV/atom, total moment 0.0851 μB/atom. Number 3: calculated total energy -3.327 eV/atom, total moment 0.0000 μB/atom.